[1]
The following is a DFT calculation (PBE) of MgTaTcPb after structural relaxation.

a b c (Å): 4.7082 4.7082 4.7082
angles (deg): 60.00 60.00 60.00
With the nearest neighbours (Å) after each atom.
Sites, in units of the cell vectors:
Mg 0.0000 0.0000 0.0000  4 Ta 2.88, 4 Tc 2.88
Ta 0.7500 0.7500 0.7500  4 Pb 2.88, 4 Mg 2.88
Tc 0.2500 0.2500 0.2500  4 Pb 2.88, 4 Mg 2.88
Pb 0.5000 0.5000 0.5000  4 Ta 2.88, 4 Tc 2.88

As for the symmetry: No. 216. The energy above the most stable polymorph in this dataset is 0.388 eV/atom.

---

[2]
The following is a DFT calculation (PBE) of MgTaTcPb after structural relaxation.

a b c (Å): 4.7084 4.7084 4.7084
angles (deg): 60.00 60.00 60.00
With the nearest neighbours (Å) after each atom.
Sites, in units of the cell vectors:
Mg 0.0000 0.0000 0.0000  4 Pb 2.88, 4 Tc 2.88
Ta 0.5000 0.5000 0.5000  4 Pb 2.88, 4 Tc 2.88
Tc 0.2500 0.2500 0.2500  4 Ta 2.88, 4 Mg 2.88
Pb 0.7500 0.7500 0.7500  4 Ta 2.88, 4 Mg 2.88

As for the symmetry: No. 216. The energy above the most stable polymorph in this dataset is 0.104 eV/atom.

---

[3]
The following is a DFT calculation (PBE) of TbMgTe3Pb after structural relaxation.

a b c (Å): 7.7304 7.7304 11.4295
angles (deg): 90.00 90.00 146.52
With the nearest neighbours (Å) after each atom.
Sites, in units of the cell vectors:
Tb 0.0000 0.0000 0.0000  6 Te 3.13-3.17
Tb 0.0000 0.0000 0.5000  6 Te 3.13-3.17
Mg 0.4742 0.5258 0.7500  4 Te 2.84-2.86
Mg 0.5258 0.4742 0.2500  4 Te 2.84-2.86
Te 0.0935 0.9065 0.7500  2 Mg 2.84, 2 Tb 3.17
Te 0.3571 0.6429 0.5511  1 Mg 2.86, 2 Tb 3.13
Te 0.3571 0.6429 0.9489  1 Mg 2.86, 2 Tb 3.13
Te 0.6429 0.3571 0.0511  1 Mg 2.86, 2 Tb 3.13
Te 0.6429 0.3571 0.4489  1 Mg 2.86, 2 Tb 3.13
Te 0.9065 0.0935 0.2500  2 Mg 2.84, 2 Tb 3.17
Pb 0.2093 0.7907 0.2500  6 Te 3.33-3.67, 2 Mg 3.51
Pb 0.7907 0.2093 0.7500  6 Te 3.33-3.67, 2 Mg 3.51

As for the symmetry: No. 63.

---

[4]
The following is a DFT calculation (PBE) of MgTePbW after structural relaxation.

a b c (Å): 4.9367 4.9367 4.9367
angles (deg): 60.00 60.00 60.00
With the nearest neighbours (Å) after each atom.
Sites, in units of the cell vectors:
Mg 0.0000 0.0000 0.0000  4 Pb 3.02, 4 Te 3.02
Te 0.2500 0.2500 0.2500  4 W 3.02, 4 Mg 3.02
Pb 0.7500 0.7500 0.7500  4 W 3.02, 4 Mg 3.02
W 0.5000 0.5000 0.5000  4 Pb 3.02, 4 Te 3.02

As for the symmetry: No. 216. The energy above the most stable polymorph in this dataset is 0.000 eV/atom.

---

[5]
The following is a DFT calculation (PBE) of MgTePbW after structural relaxation.

a b c (Å): 5.0523 5.0523 5.0523
angles (deg): 60.00 60.00 60.00
With the nearest neighbours (Å) after each atom.
Sites, in units of the cell vectors:
Mg 0.0000 0.0000 0.0000  4 W 3.09, 4 Pb 3.09
Te 0.5000 0.5000 0.5000  4 Pb 3.09, 4 W 3.09
Pb 0.2500 0.2500 0.2500  4 Te 3.09, 4 Mg 3.09
W 0.7500 0.7500 0.7500  4 Te 3.09, 4 Mg 3.09

As for the symmetry: No. 216. The energy above the most stable polymorph in this dataset is 0.267 eV/atom.

---

[6]
The following is a DFT calculation (PBE) of ThMgPb after structural relaxation.

a b c (Å): 8.8636 8.8636 8.8636
angles (deg): 150.41 150.41 42.34
With the nearest neighbours (Å) after each atom.
Sites, in units of the cell vectors:
Th 0.1709 0.1709 0.0000  5 Pb 3.27-3.29, 4 Mg 3.62
Th 0.8291 0.8291 0.0000  5 Pb 3.27-3.29, 4 Mg 3.62
Mg 0.0000 0.5000 0.5000  4 Pb 3.12, 4 Mg 3.20
Mg 0.5000 0.0000 0.5000  4 Pb 3.12, 4 Mg 3.20
Pb 0.3701 0.3701 0.0000  4 Mg 3.12, 5 Th 3.27-3.29
Pb 0.6299 0.6299 0.0000  4 Mg 3.12, 5 Th 3.27-3.29

As for the symmetry: No. 139.

---

[7]
The following is a DFT calculation (PBE) of ThMgPb2 after structural relaxation.

a b c (Å): 4.9800 4.9800 4.5529
angles (deg): 90.00 90.00 90.00
With the nearest neighbours (Å) after each atom.
Sites, in units of the cell vectors:
Th 0.0000 0.0000 0.0000  8 Pb 3.37, 4 Mg 3.52
Mg 0.5000 0.5000 0.0000  8 Pb 3.37, 4 Th 3.52
Pb 0.0000 0.5000 0.5000  4 Mg 3.37, 4 Th 3.37, 4 Pb 3.52
Pb 0.5000 0.0000 0.5000  4 Mg 3.37, 4 Th 3.37, 4 Pb 3.52

As for the symmetry: No. 123.

---

[8]
The following is a DFT calculation (PBE) of TmMgPb after structural relaxation.

a b c (Å): 4.9634 4.9634 4.9634
angles (deg): 60.00 60.00 60.00
With the nearest neighbours (Å) after each atom.
Sites, in units of the cell vectors:
Tm 0.0000 0.0000 0.0000  4 Pb 3.04
Mg 0.5000 0.5000 0.5000  4 Pb 3.04
Pb 0.7500 0.7500 0.7500  4 Mg 3.04, 4 Tm 3.04

As for the symmetry: No. 216.

---

Computed total magnetization (μB per atom) in order:
0.00 0.00 0.00 0.13 0.49 0.00 0.00 0.00
Computed VASP energy (eV per cell) in order:
-24.8 -25.9 -48.3 -18.7 -17.7 -26.9 -17.4 -10.0